# 1
# MnGePt2Au GGA-PBE optimized geometry
data_MnGePt2Au
_chemical_formula_sum 'Mn1 Ge1 Pt2 Au1'
_symmetry_space_group_name_H-M 'P 4/m m m'
_symmetry_Int_Tables_number 123
_symmetry_space_group_name_Hall '-P 4 2'
_cell_length_a 4.611
_cell_length_b 4.611
_cell_length_c 4.474
_cell_angle_alpha 90.00
_cell_angle_beta 90.00
_cell_angle_gamma 90.00
loop_
_atom_site_label
_atom_site_fract_x
_atom_site_fract_y
_atom_site_fract_z
Mn1 0.000 0.000 0.000
Ge1 0.000 0.000 0.500
Pt1 0.000 0.500 0.000
Au1 0.500 0.500 0.500
# Total moment in μB per formula unit: 0.0



# 2
# Pu2MnGe6Au GGA-PBE optimized geometry
data_Pu2MnGe6Au
_chemical_formula_sum 'Pu12 Mn6 Ge36 Au6'
_symmetry_space_group_name_H-M 'R -3 m'
_symmetry_Int_Tables_number 166
_symmetry_space_group_name_Hall '-R 3 2"'
_cell_length_a 5.9796
_cell_length_b 5.9796
_cell_length_c 38.2663
_cell_angle_alpha 90.00
_cell_angle_beta 90.00
_cell_angle_gamma 120.00
loop_
_atom_site_label
_atom_site_fract_x
_atom_site_fract_y
_atom_site_fract_z
Pu1 0.0000 0.0000 0.1340
Pu2 0.0000 0.0000 0.2726
Mn1 0.0000 0.0000 0.0000
Mn2 0.0000 0.0000 0.5000
Ge1 0.0241 0.5121 0.8740
Ge2 0.0388 0.5194 0.7287
Au1 0.0000 0.0000 0.3491
# Total moment in μB per formula unit: 0.9



Number 1: E_tot -5.050 eV per atom, Fermi-level density of states 1.00 states/eV/atom. Number 2: E_tot -7.038 eV per atom, Fermi-level density of states 1.42 states/eV/atom.